(1)
# NdErLu4, optimized geometry, DFT PBE
# DOS(E_F) in states/eV per atom: 2.07
# ΔE_f in eV/atom: 0.283
data_NdErLu4
_cell_length_a 9.2204
_cell_length_b 9.2204
_cell_length_c 9.2204
_cell_angle_alpha 90.00
_cell_angle_beta 90.00
_cell_angle_gamma 90.00
_space_group_name_H-M_alt 'F -4 3 m'
_space_group_IT_number 216
_space_group_name_Hall 'F -4 2 3'
loop_
_atom_site_label
_atom_site_fract_x
_atom_site_fract_y
_atom_site_fract_z
Nd1 0.0000 0.0000 0.0000
Er1 0.2500 0.2500 0.7500
Lu1 0.1247 0.1247 0.3753

(2)
# CdFeAsPt2, optimized geometry, DFT PBE
# DOS(E_F) in states/eV per atom: 0.68
# ΔE_f in eV/atom: 0.328
data_CdFeAsPt2
_cell_length_a 4.7163
_cell_length_b 4.7163
_cell_length_c 4.3993
_cell_angle_alpha 90.00
_cell_angle_beta 90.00
_cell_angle_gamma 90.00
_space_group_name_H-M_alt 'P 4/m m m'
_space_group_IT_number 123
_space_group_name_Hall '-P 4 2'
loop_
_atom_site_label
_atom_site_fract_x
_atom_site_fract_y
_atom_site_fract_z
Cd1 0.0000 0.0000 0.0000
Fe1 0.5000 0.5000 0.0000
As1 0.5000 0.5000 0.5000
Pt1 0.0000 0.5000 0.5000

(3)
# Ga2SiHg, optimized geometry, DFT PBE
# DOS(E_F) in states/eV per atom: 0.41
# Formation energy (no corrections) in eV/atom: 0.160
# ΔE to the lowest computed polymorph in eV per atom: 0.000
data_Ga2SiHg
_cell_length_a 3.9451
_cell_length_b 3.9451
_cell_length_c 22.9034
_cell_angle_alpha 90.00
_cell_angle_beta 90.00
_cell_angle_gamma 120.00
_space_group_name_H-M_alt 'R -3 m'
_space_group_IT_number 166
_space_group_name_Hall '-R 3 2"'
loop_
_atom_site_label
_atom_site_fract_x
_atom_site_fract_y
_atom_site_fract_z
Ga1 0.0000 0.0000 0.1167
Si1 0.0000 0.0000 0.5000
Hg1 0.0000 0.0000 0.0000

(4)
# Sr3Sn6Rh5, optimized geometry, DFT PBE
# DOS(E_F) in states/eV per atom: 0.56
# ΔE_f in eV/atom: -0.563
data_Sr3Sn6Rh5
_cell_length_a 4.4761
_cell_length_b 13.8585
_cell_length_c 10.0440
_cell_angle_alpha 90.00
_cell_angle_beta 90.00
_cell_angle_gamma 90.00
_space_group_name_H-M_alt 'P m m n'
_space_group_IT_number 59
loop_
_space_group_symop_operation_xyz
'x,y,z'
'-x,-y,-z'
'-x+1/2,-y+1/2,z'
'x+1/2,y+1/2,-z'
'x+1/2,-y,-z'
'-x+1/2,y,z'
'-x,y+1/2,-z'
'x,-y+1/2,z'
loop_
_atom_site_label
_atom_site_fract_x
_atom_site_fract_y
_atom_site_fract_z
Sr1 0.2500 0.0524 0.2484
Sr2 0.2500 0.7500 0.2709
Sn1 0.2500 0.0669 0.5880
Sn2 0.2500 0.2500 0.0341
Sn3 0.2500 0.2500 0.4013
Sn4 0.2500 0.5928 0.9830
Rh1 0.2500 0.0927 0.8698
Rh2 0.2500 0.6388 0.5440
Rh3 0.2500 0.7500 0.7989

(5)
# NbAs2SeBr, optimized geometry, DFT PBE
# DOS(E_F) in states/eV per atom: 1.05
# Formation energy (no corrections) in eV/atom: 1.098
# ΔE to the lowest computed polymorph in eV per atom: 0.986
data_NbAs2SeBr
_cell_length_a 5.0158
_cell_length_b 5.0158
_cell_length_c 5.0029
_cell_angle_alpha 90.00
_cell_angle_beta 90.00
_cell_angle_gamma 90.00
_space_group_name_H-M_alt 'P 4/m m m'
_space_group_IT_number 123
_space_group_name_Hall '-P 4 2'
loop_
_atom_site_label
_atom_site_fract_x
_atom_site_fract_y
_atom_site_fract_z
Nb1 0.0000 0.0000 0.0000
As1 0.0000 0.5000 0.5000
Se1 0.5000 0.5000 0.5000
Br1 0.5000 0.5000 0.0000

(6)
# BeCu2Ru, optimized geometry, DFT PBE
# DOS(E_F) in states/eV per atom: 0.80
# ΔE_f in eV/atom: 0.160
data_BeCu2Ru
_cell_length_a 2.5391
_cell_length_b 3.7477
_cell_length_c 4.9710
_cell_angle_alpha 90.00
_cell_angle_beta 90.00
_cell_angle_gamma 90.00
_space_group_name_H-M_alt 'P m m m'
_space_group_IT_number 47
_space_group_name_Hall '-P 2 2'
loop_
_atom_site_label
_atom_site_fract_x
_atom_site_fract_y
_atom_site_fract_z
Be1 0.0000 0.0000 0.0000
Cu1 0.5000 0.5000 0.2386
Ru1 0.0000 0.0000 0.5000

Number 1: total DFT energy (no corrections) -4.286 eV/atom. Number 2: total DFT energy (no corrections) -4.894 eV/atom. Number 3: total DFT energy (no corrections) -2.784 eV/atom. Number 4: total DFT energy (no corrections) -5.265 eV/atom. Number 5: total DFT energy (no corrections) -3.807 eV/atom. Number 6: total DFT energy (no corrections) -5.139 eV/atom.